The following is a DFT calculation (PBE) of a geometry-optimized NaFeTePb2 structure.

Calculated values
The calculation puts the volume at 165.54 Å³ per cell. The calculation puts the total magnetic moment at 3.44 μB per cell. The crystal system is tetragonal. As for the symmetry: No. 123. The calculation puts the energy relative to the elements, uncorrected at 990 meV/atom.

Cell: 5.5654 5.3447 5.5654 Å, 90.00 90.00 90.00°
With the nearest neighbours (Å) after each atom.
Element x y z (fractional)
Na 0.0000 0.0000 0.0000  2 Te 2.67, 4 Pb 2.78
Pb 0.5000 0.0000 0.0000  2 Na 2.78
Pb 0.0000 0.0000 0.5000  2 Na 2.78
Te 0.0000 0.5000 0.0000  2 Na 2.67
Fe 0.5000 0.5000 0.5000  8 Pb 3.86, 4 Te 3.94


The following is a DFT calculation (PBE) of a geometry-optimized MoAs2 structure.

Calculated values
The calculation puts the volume at 103.35 Å³ per cell. The calculation puts the total magnetic moment at 0.00 μB per cell. As for the formation energy: -0.26 eV/atom. The crystal system is monoclinic. As for the symmetry: No. 12.

Cell: 4.8712 4.8712 7.7648 Å, 62.80 62.80 39.94°
With the nearest neighbours (Å) after each atom.
Element x y z (fractional)
As 0.9301 0.9301 0.0883  5 Mo 2.63-2.75
Mo 0.6811 0.6811 0.9930  8 As 2.59-2.75
As 0.3814 0.3814 0.7271  3 As 2.47-2.75, 3 Mo 2.59-2.60
As 0.1254 0.1254 0.3006  5 Mo 2.63-2.75
As 0.6742 0.6742 0.6618  3 As 2.47-2.75, 3 Mo 2.59-2.60
Mo 0.3744 0.3744 0.3959  8 As 2.59-2.75


The following is a DFT calculation (PBE) of a geometry-optimized Ca2DyTm structure.

Calculated values
The calculation puts the volume at 141.28 Å³ per cell. The calculation puts the total magnetic moment at 1.24 μB per cell. As for the formation energy: 0.20 eV/atom. The crystal system is tetragonal. As for the symmetry: No. 123.

Cell: 5.4579 5.0878 5.0878 Å, 90.00 90.00 90.00°
With the nearest neighbours (Å) after each atom.
Element x y z (fractional)
Tm 0.5000 0.0000 0.0000  4 Dy 3.60, 8 Ca 3.73
Ca 0.0000 0.5000 0.0000  4 Ca 3.60, 4 Dy 3.73, 4 Tm 3.73
Dy 0.5000 0.5000 0.5000  4 Tm 3.60, 8 Ca 3.73
Ca 0.0000 0.0000 0.5000  4 Ca 3.60, 4 Dy 3.73, 4 Tm 3.73


The following is a DFT calculation (PBE) of a geometry-optimized CsAsCl2 structure.

Calculated values
The calculation puts the volume at 147.83 Å³ per cell. The calculation puts the total magnetic moment at 0.00 μB per cell. The crystal system is trigonal. As for the symmetry: No. 166. The calculation puts the energy relative to the elements, uncorrected at -685 meV/atom.

Cell: 9.8590 9.8590 9.8590 Å, 24.76 24.76 24.76°
With the nearest neighbours (Å) after each atom.
Element x y z (fractional)
Cl 0.0862 0.0862 0.0862  1 As 2.47
As 0.0000 0.0000 0.0000  2 Cl 2.47
Cs 0.5000 0.5000 0.5000  6 Cl 3.36
Cl 0.9138 0.9138 0.9138  1 As 2.47


The following is a DFT calculation (PBE) of a geometry-optimized Hf2BeTl structure.

Calculated values
The calculation puts the volume at 77.59 Å³ per cell. The calculation puts the total magnetic moment at 0.00 μB per cell. As for the formation energy: 0.29 eV/atom. The crystal system is cubic. As for the symmetry: No. 225.

Cell: 4.7875 4.7875 4.7875 Å, 60.00 60.00 60.00°
With the nearest neighbours (Å) after each atom.
Element x y z (fractional)
Tl 0.5000 0.5000 0.5000  8 Hf 2.93
Hf 0.2500 0.2500 0.2500  4 Tl 2.93, 4 Be 2.93
Be 0.0000 0.0000 0.0000  8 Hf 2.93
Hf 0.7500 0.7500 0.7500  4 Tl 2.93, 4 Be 2.93


The following is a DFT calculation (PBE) of a geometry-optimized Tb2SmGeN4 structure.

Calculated values
The calculation puts the volume at 236.76 Å³ per cell. The calculation puts the total magnetic moment at 0.00 μB per cell. The crystal system is orthorhombic. As for the symmetry: No. 63. The calculation puts the energy relative to the elements, uncorrected at -1050 meV/atom.

Cell: 3.5423 5.9854 11.6906 Å, 90.00 90.00 107.21°
With the nearest neighbours (Å) after each atom.
Element x y z (fractional)
N 0.2708 0.5417 0.3716  1 Ge 1.89
Sm 0.8991 0.7982 0.2500  6 N 2.68-2.70, 1 Ge 3.00
N 0.4246 0.8492 0.7500  2 Ge 2.03
N 0.0000 0.0000 0.0000  4 Tb 2.37
N 0.7292 0.4583 0.8716  1 Ge 1.89
Tb 0.3697 0.7394 0.9563  4 N 2.31-2.49
Tb 0.6303 0.2606 0.4563  4 N 2.31-2.49
Tb 0.3697 0.7394 0.5437  4 N 2.31-2.49
N 0.0000 0.0000 0.5000  4 Tb 2.37
N 0.5754 0.1508 0.2500  2 Ge 2.03
N 0.7292 0.4583 0.6284  1 Ge 1.89
N 0.2708 0.5417 0.1284  1 Ge 1.89
Sm 0.1009 0.2018 0.7500  6 N 2.68-2.70, 1 Ge 3.00
Ge 0.1619 0.3238 0.2500  4 N 1.89-2.03
Ge 0.8381 0.6762 0.7500  4 N 1.89-2.03
Tb 0.6303 0.2606 0.0437  4 N 2.31-2.49